Entry 1:
TaCuCl: optimized geometry, PBE-GGA.

Values from the calculation:
Formation energy from raw total energies: 1.11 eV/f.u.
Energy above the lowest structure with this stoichiometry: 429 meV/atom

Cell lengths 4.3157, 4.3157, 2.9604 Å; angles 90.00, 90.00, 120.00 degrees
With the nearest neighbours (Å) after each atom.
Positions (direct):
Cl 0.0000 0.0000 0.8332  3 Ta 2.49
Cu 0.3333 0.6667 0.3336  6 Ta 2.90, 6 Cl 2.90, 2 Cu 2.96
Ta 0.6667 0.3333 0.8331  3 Cl 2.49

---

Entry 2:
TaCuCl2: optimized geometry, PBE-GGA.

Values from the calculation:
Formation energy from raw total energies: 0.49 eV/f.u.
Energy above the lowest structure with this stoichiometry: 531 meV/atom

Cell lengths 4.2863, 3.0624, 5.3132 Å; angles 86.01, 90.00, 90.00 degrees
With the nearest neighbours (Å) after each atom.
Positions (direct):
Cl 0.0000 0.0615 0.9932  2 Ta 2.55, 2 Cu 2.68, 1 Cl 2.76
Cl 0.0000 0.4385 0.5068  2 Ta 2.55, 2 Cu 2.68, 1 Cl 2.76
Cu 0.5000 0.7500 0.2500  4 Cl 2.68, 2 Ta 2.97
Ta 0.5000 0.2500 0.7500  4 Cl 2.55

---

Entry 3:
TaCuCl2: optimized geometry, PBE-GGA.

Values from the calculation:
Formation energy from raw total energies: 1.87 eV/f.u.
Energy above the lowest structure with this stoichiometry: 876 meV/atom

Cell lengths 4.4411, 4.4411, 4.4411 Å; angles 60.00, 60.00, 60.00 degrees
With the nearest neighbours (Å) after each atom.
Positions (direct):
Cl 0.2500 0.2500 0.2500  4 Ta 2.72, 4 Cu 2.72
Cl 0.7500 0.7500 0.7500  4 Cu 2.72, 4 Ta 2.72
Cu 0.0000 0.0000 0.0000  8 Cl 2.72
Ta 0.5000 0.5000 0.5000  8 Cl 2.72

---

Entry 4:
TaCu2Cl2: optimized geometry, PBE-GGA.

Values from the calculation:
Formation energy from raw total energies: 3.80 eV/f.u.
Energy above the lowest structure with this stoichiometry: 0 meV/atom

Cell lengths 4.1111, 4.1111, 5.9517 Å; angles 69.80, 69.80, 90.00 degrees
With the nearest neighbours (Å) after each atom.
Positions (direct):
Cl 0.7500 0.2500 0.5000  4 Cu 2.52
Cl 0.2500 0.7500 0.5000  4 Cu 2.52
Cu 0.3900 0.3900 0.2200  1 Cu 2.29, 4 Cl 2.52
Cu 0.6100 0.6100 0.7800  1 Cu 2.29, 4 Cl 2.52
Ta 0.0000 0.0000 0.0000  8 Cu 3.12, 8 Cl 3.31

---

Entry 5:
TaCuCl2: optimized geometry, PBE-GGA.

Values from the calculation:
Formation energy from raw total energies: -0.91 eV/f.u.
Energy above the lowest structure with this stoichiometry: 183 meV/atom

Cell lengths 3.1312, 3.1312, 7.9680 Å; angles 90.00, 90.00, 96.55 degrees
With the nearest neighbours (Å) after each atom.
Positions (direct):
Cl 0.0000 0.0000 0.9216  4 Ta 2.69-2.89
Cl 0.5000 0.5000 0.3568  4 Cu 2.43-2.65
Cu 0.0000 0.0000 0.5136  4 Cl 2.43-2.65, 2 Ta 2.60
Ta 0.5000 0.5000 0.7080  4 Cu 2.60-2.80, 5 Cl 2.69-2.89

---

Entry 6:
TaCuCl2: optimized geometry, PBE-GGA.

Values from the calculation:
Formation energy from raw total energies: 0.61 eV/f.u.
Energy above the lowest structure with this stoichiometry: 562 meV/atom

Cell lengths 2.9858, 2.9858, 9.6263 Å; angles 90.00, 90.00, 90.00 degrees
With the nearest neighbours (Å) after each atom.
Positions (direct):
Cl 0.0000 0.0000 0.9110  4 Ta 2.62
Cl 0.0000 0.0000 0.5890  4 Ta 2.62
Cu 0.5000 0.5000 0.2500  4 Cu 2.99
Ta 0.5000 0.5000 0.7500  8 Cl 2.62

---

Entry 7:
TaCuCl: optimized geometry, PBE-GGA.

Values from the calculation:
Formation energy from raw total energies: 2.41 eV/f.u.
Energy above the lowest structure with this stoichiometry: 862 meV/atom

Cell lengths 4.2426, 4.2426, 4.2426 Å; angles 60.00, 60.00, 60.00 degrees
With the nearest neighbours (Å) after each atom.
Positions (direct):
Cl 0.0000 0.0000 0.0000  4 Ta 2.60
Cu 0.5000 0.5000 0.5000  4 Ta 2.60
Ta 0.7500 0.7500 0.7500  4 Cu 2.60, 4 Cl 2.60

---

Entry 8:
TaCuCl2: optimized geometry, PBE-GGA.

Values from the calculation:
Formation energy from raw total energies: 2.19 eV/f.u.
Energy above the lowest structure with this stoichiometry: 957 meV/atom

Cell lengths 5.8978, 5.8978, 6.1699 Å; angles 61.45, 61.45, 90.00 degrees
With the nearest neighbours (Å) after each atom.
Positions (direct):
Cl 0.5988 0.1250 0.2500  2 Cu 2.28, 2 Ta 2.47
Cl 0.1512 0.6250 0.2500  2 Cu 2.28, 2 Ta 2.47
Cl 0.3750 0.4012 0.7500  2 Cu 2.28, 2 Ta 2.47
Cl 0.8750 0.8488 0.7500  2 Cu 2.28, 2 Ta 2.47
Cu 0.5000 0.5000 0.0000  4 Cl 2.28
Cu 0.2500 0.7500 0.5000  4 Cl 2.28
Ta 0.0000 0.0000 0.0000  4 Cl 2.47
Ta 0.7500 0.2500 0.5000  4 Cl 2.47